Computed, not measured: a relaxed structure of CePrDy at the PBE level of DFT.

Structure (extended XYZ):
```
3
Lattice="-1.784 1.784 7.534 1.784 -1.784 7.534 1.784 1.784 -7.534" Properties=species:S:1:pos:R:3 pbc="T T T"
Ce 0.000 0.000 0.000
Pr 0.000 0.000 9.987
Dy 0.000 0.000 5.179
```

## Properties
Energy of formation from the pure elements (kJ/mol of atoms): 7.6
Space-group type: No. 107